Computed, not measured: a geometry-optimized CuNiIrO4 structure at the PBE+U level of DFT.

Values from the calculation:
E: -5.797 eV/atom
N(E_F): 5.199 states/eV/f.u.
Symmetry: No. 74
Calculated volume: 78.0 Å³/f.u.

```
CuNiIrO4
1.0
-1.826 5.408 1.518
-1.323 -2.127 -5.501
-2.730 -2.332 5.023
Cu Ni Ir O
2 2 2 8
direct
0.858 0.715 0.108
0.142 0.285 0.892
0.500 0.500 0.500
0.000 0.500 0.500
0.500 0.000 0.500
0.500 0.000 0.000
0.732 0.464 0.711
0.276 0.000 0.250
0.725 0.000 0.250
0.732 0.464 0.253
0.268 0.536 0.747
0.724 0.000 0.750
0.275 0.000 0.750
0.268 0.536 0.289
```